A relaxed BeSiPt2 crystal, computed with GGA-PBE.

## Properties
**Uncorrected formation energy**: -0.0440 eV/atom
**Energy**: -21.4 eV for the cell shown
**N(E_F)**: 2.20 states/eV per cell
**Symmetry**: F-43m (216)

abc: 4.297 4.297 4.297
angles: 60.00 60.00 60.00
Fractional positions:
Be1 0.000 0.000 0.000
Si1 0.250 0.250 0.250
Pt1 0.500 0.500 0.500
Pt2 0.750 0.750 0.750